TlV2HgSe (PBE, relaxed); formation energy without anion corrections = 605 meV/atom; spin magnetization = 6.7 μB per formula unit; space group = No. 123
1.0
4.766 0.000 0.000
0.000 6.202 0.000
0.000 0.000 4.766
Tl Se V Hg
1 1 2 1
direct
0.500 0.500 0.500
0.000 0.000 0.000
0.000 0.000 0.500
0.500 0.000 0.000
0.000 0.500 0.000


YTl2HgSe4 (PBE, relaxed); formation energy without anion corrections = -741 meV/atom; spin magnetization = 0.0 μB per formula unit; space group = No. 10
1.0
-0.699 3.945 -1.176
-6.641 -2.164 -3.307
-5.551 0.485 4.926
Se Y Hg Tl
4 1 1 2
direct
0.500 0.275 0.722
0.000 0.714 0.760
0.000 0.286 0.240
0.500 0.725 0.278
0.000 0.500 0.500
0.500 0.500 0.000
0.000 0.000 0.000
0.500 0.000 0.500


Tm3HgSe2 (PBE, relaxed); formation energy without anion corrections = -1260 meV/atom; spin magnetization = 0.0 μB per formula unit; space group = No. 71
1.0
-3.326 0.523 -2.050
0.987 -4.993 -2.875
-2.086 -0.978 6.924
Se Tm Hg
2 3 1
direct
0.166 0.666 0.332
0.834 0.334 0.668
0.500 0.500 0.000
0.827 0.828 0.655
0.173 0.172 0.345
0.500 0.000 0.000


Tm4HgSe2 (PBE, relaxed); formation energy without anion corrections = -1102 meV/atom; spin magnetization = 0.0 μB per formula unit; space group = No. 63
1.0
4.014 0.000 0.000
-2.007 6.481 0.000
0.000 0.000 13.768
Tm Hg Se
8 2 4
direct
0.774 0.548 0.126
0.500 0.000 0.000
0.500 0.000 0.500
0.226 0.452 0.874
0.935 0.871 0.750
0.065 0.129 0.250
0.774 0.548 0.374
0.226 0.452 0.626
0.392 0.784 0.250
0.608 0.216 0.750
0.138 0.275 0.059
0.862 0.725 0.941
0.138 0.275 0.441
0.862 0.725 0.559


TmHgSe2 (PBE, relaxed); formation energy without anion corrections = -1050 meV/atom; spin magnetization = 0.0 μB per formula unit; space group = No. 166
1.0
-0.008 -2.029 3.588
3.336 0.080 2.421
-1.930 6.361 5.961
Se Tm Hg
2 1 1
direct
0.893 0.893 0.322
0.107 0.107 0.678
0.500 0.500 0.500
0.000 0.000 0.000


TmHgSe2 (PBE, relaxed); formation energy without anion corrections = 57 meV/atom; spin magnetization = 0.0 μB per formula unit; space group = No. 166
1.0
3.277 0.000 0.000
1.639 2.838 0.000
1.639 0.946 12.490
Hg Tm Se
1 1 2
direct
0.500 0.500 0.500
0.000 0.000 0.000
0.927 0.927 0.218
0.073 0.073 0.782


Tm4HgSe2 (PBE, relaxed); formation energy without anion corrections = -1066 meV/atom; spin magnetization = 0.6 μB per formula unit; space group = No. 166
1.0
-0.792 1.468 3.458
-0.217 -2.307 3.061
13.501 1.579 4.555
Tm Se Hg
4 2 1
direct
0.865 0.865 0.404
0.284 0.284 0.148
0.135 0.135 0.596
0.716 0.716 0.852
0.425 0.425 0.726
0.575 0.575 0.274
0.000 0.000 0.000


Tm5HgSe4 (PBE, relaxed); formation energy without anion corrections = -1437 meV/atom; spin magnetization = 0.0 μB per formula unit; space group = No. 87
1.0
-5.475 -1.434 -1.117
-0.995 -6.900 -1.161
-3.784 -1.626 5.743
Tm Se Hg
5 4 1
direct
0.900 0.401 0.801
0.501 0.000 0.000
0.701 0.199 0.401
0.301 0.801 0.599
0.102 0.599 0.199
0.804 0.795 0.599
0.198 0.205 0.401
0.599 0.599 0.205
0.403 0.401 0.795
0.001 0.000 0.000


Tm7HgSe5 (PBE, relaxed); formation energy without anion corrections = -1373 meV/atom; spin magnetization = 0.0 μB per formula unit; space group = No. 63
1.0
-3.193 0.097 2.391
-2.285 -1.632 -6.313
2.987 -23.233 4.926
Se Tm Hg
10 14 2
direct
0.275 0.549 0.072
0.452 0.905 0.640
0.549 0.097 0.360
0.275 0.550 0.428
0.725 0.451 0.928
0.548 0.096 0.140
0.000 0.000 0.000
0.001 0.001 0.500
0.726 0.452 0.572
0.452 0.904 0.860
0.640 0.280 0.464
0.816 0.631 0.822
0.904 0.808 0.384
0.522 0.044 0.750
0.184 0.369 0.178
0.097 0.194 0.616
0.639 0.279 0.036
0.361 0.722 0.536
0.478 0.957 0.250
0.904 0.807 0.116
0.097 0.193 0.884
0.185 0.370 0.322
0.816 0.632 0.678
0.361 0.721 0.964
0.195 0.390 0.750
0.806 0.611 0.250


Tm5Hg2Se2 (PBE, relaxed); formation energy without anion corrections = -831 meV/atom; spin magnetization = 0.0 μB per formula unit; space group = No. 64
1.0
-1.016 6.868 -0.604
-6.450 -1.442 -5.538
-1.713 0.501 8.576
Tm Hg Se
10 4 4
direct
0.351 0.952 0.284
0.500 0.500 0.000
0.000 0.000 0.000
0.649 0.331 0.284
0.149 0.169 0.716
0.351 0.669 0.716
0.851 0.831 0.284
0.649 0.048 0.716
0.851 0.548 0.716
0.149 0.452 0.284
0.500 0.707 0.414
0.000 0.793 0.586
0.500 0.293 0.586
0.000 0.207 0.414
0.361 0.177 0.000
0.139 0.677 0.000
0.639 0.823 0.000
0.861 0.323 0.000


U6HgSe12 (PBE, relaxed); formation energy without anion corrections = -972 meV/atom; spin magnetization = 12.0 μB per formula unit; space group = No. 166
1.0
-6.967 4.391 -1.898
-0.826 -1.920 8.188
6.260 5.671 -0.263
Se U Hg
12 6 1
direct
0.500 0.872 0.128
0.182 0.442 0.442
0.500 0.128 0.872
0.442 0.182 0.442
0.818 0.558 0.558
0.558 0.818 0.558
0.442 0.442 0.182
0.128 0.500 0.872
0.872 0.128 0.500
0.558 0.558 0.818
0.872 0.500 0.128
0.128 0.872 0.500
0.255 0.255 0.665
0.255 0.665 0.255
0.745 0.745 0.335
0.665 0.255 0.255
0.745 0.335 0.745
0.335 0.745 0.745
0.000 0.000 0.000


UHgSe2 (PBE, relaxed); formation energy without anion corrections = -752 meV/atom; spin magnetization = 1.9 μB per formula unit; space group = No. 123
1.0
3.516 0.000 0.000
0.000 3.516 0.000
0.000 0.000 8.890
Hg Se U
1 2 1
direct
0.500 0.500 0.500
0.000 0.000 0.820
0.000 0.000 0.180
0.500 0.500 0.000


UHgSe2 (PBE, relaxed); formation energy without anion corrections = 223 meV/atom; spin magnetization = 1.9 μB per formula unit; space group = No. 166
1.0
-2.082 0.623 -2.046
-0.805 -2.074 -1.990
-9.984 -4.589 6.582
Se Hg U
2 1 1
direct
0.076 0.076 0.771
0.924 0.924 0.229
0.500 0.500 0.500
0.000 0.000 0.000


UHgSe3 (PBE, relaxed); formation energy without anion corrections = -679 meV/atom; spin magnetization = 2.0 μB per formula unit; space group = No. 148
1.0
6.683 0.000 2.914
2.706 6.111 2.914
0.553 0.360 7.851
Se U Hg
6 2 2
direct
0.078 0.714 0.759
0.450 0.078 0.759
0.714 0.450 0.759
0.286 0.550 0.241
0.550 0.922 0.241
0.922 0.286 0.241
0.666 0.666 0.003
0.334 0.334 0.997
0.086 0.086 0.741
0.914 0.914 0.259


UHgSe2 (PBE, relaxed); formation energy without anion corrections = -821 meV/atom; spin magnetization = 2.0 μB per formula unit; space group = No. 12
1.0
4.102 0.000 0.000
-2.051 3.472 -0.749
0.000 -0.177 9.836
Se U Hg
2 1 1
direct
0.718 0.435 0.661
0.282 0.565 0.339
0.000 0.000 0.500
0.500 0.000 0.000


UHgSe2 (PBE, relaxed); formation energy without anion corrections = -753 meV/atom; spin magnetization = 2.1 μB per formula unit; space group = No. 63
1.0
4.055 0.000 0.000
0.000 5.639 0.000
-2.028 0.000 11.226
Hg Se U
2 4 2
direct
0.028 0.250 0.057
0.972 0.750 0.943
0.613 0.750 0.227
0.387 0.250 0.773
0.213 0.250 0.425
0.787 0.750 0.575
0.194 0.750 0.389
0.806 0.250 0.611


U4HgSe8 (PBE, relaxed); formation energy without anion corrections = -1025 meV/atom; spin magnetization = 8.0 μB per formula unit; space group = No. 166
1.0
-5.511 -6.155 -0.163
2.568 -7.830 -0.622
-0.592 -5.249 8.744
U Se Hg
4 8 1
direct
0.500 0.000 0.000
0.500 0.500 0.000
0.000 0.500 0.000
0.000 0.000 0.000
0.223 0.223 0.831
0.277 0.777 0.169
0.723 0.223 0.831
0.223 0.723 0.831
0.777 0.777 0.169
0.777 0.277 0.169
0.277 0.277 0.169
0.723 0.723 0.831
0.500 0.500 0.500


UHgSe2 (PBE, relaxed); formation energy without anion corrections = -820 meV/atom; spin magnetization = 2.0 μB per formula unit; space group = No. 160
1.0
-3.264 2.425 -0.614
-3.097 0.003 2.705
2.185 7.850 5.618
Se Hg U
2 1 1
direct
0.281 0.281 0.158
0.054 0.054 0.839
0.499 0.499 0.504
0.667 0.667 0.999


U3VHg3Se8 (PBE, relaxed); formation energy without anion corrections = -779 meV/atom; spin magnetization = 7.0 μB per formula unit; space group = No. 166
1.0
7.851 0.000 0.000
-3.925 6.798 -0.038
0.000 -4.479 9.562
Hg Se V U
3 8 1 3
direct
0.500 0.500 0.000
0.000 0.500 0.000
0.000 0.000 0.000
0.790 0.050 0.339
0.724 0.448 0.672
0.740 0.950 0.661
0.260 0.050 0.339
0.210 0.421 0.661
0.276 0.552 0.328
0.790 0.579 0.339
0.210 0.950 0.661
0.000 0.000 0.500
0.500 0.000 0.500
0.500 0.500 0.500
0.000 0.500 0.500


V3HgSe (PBE, relaxed); formation energy without anion corrections = 547 meV/atom; spin magnetization = 4.9 μB per formula unit; space group = No. 221
1.0
-1.655 1.405 -4.017
-1.578 -4.206 -0.821
-3.953 1.091 2.010
Hg V Se
1 3 1
direct
0.500 0.500 0.500
0.000 0.000 0.500
0.000 0.500 0.000
0.500 0.000 0.000
0.000 0.000 0.000